Entry 1:
Below is a relaxed structure of LiB4Pd, with properties calculated at the PBE level.

a b c (Å): 3.0028 3.0028 6.9888
angles (deg): 90.00 90.00 120.00
Closest atoms and distances in Å follow each position.
Atoms (fractional coordinates):
Li: 0.0000 0.0000 0.0000  12 B 2.46
B: 0.3333 0.6667 0.2488  3 B 1.73
B: 0.3333 0.6667 0.7512  3 B 1.73
B: 0.6667 0.3333 0.2488  3 B 1.73
B: 0.6667 0.3333 0.7512  3 B 1.73
Pd: 0.0000 0.0000 0.5000  12 B 2.47

Values from the calculation:
* energy above the lowest structure with this stoichiometry: 0.0225 eV/atom
* electronic total energy: -5.58 eV/atom

Entry 2:
Below is a relaxed structure of LiB4Pd, with properties calculated at the PBE level.

a b c (Å): 4.5647 4.5647 4.5647
angles (deg): 141.77 110.62 82.08
Closest atoms and distances in Å follow each position.
Atoms (fractional coordinates):
Li: 0.0000 0.0000 0.0000  12 B 2.38-2.51
B: 0.0777 0.7402 0.3376  3 B 1.69-1.76
B: 0.4026 0.7402 0.6624  3 B 1.69-1.76
B: 0.5974 0.2598 0.3376  3 B 1.69-1.76
B: 0.9223 0.2598 0.6624  3 B 1.69-1.76
Pd: 0.5000 0.5000 0.0000  12 B 2.41-2.48

Values from the calculation:
* energy above the lowest structure with this stoichiometry: 0.0000 eV/atom
* electronic total energy: -5.60 eV/atom

Entry 3:
Below is a relaxed structure of LiBPd2, with properties calculated at the PBE level.

a b c (Å): 4.1401 4.1401 4.1401
angles (deg): 60.00 60.00 60.00
Closest atoms and distances in Å follow each position.
Atoms (fractional coordinates):
Li: 0.0000 0.0000 0.0000  4 B 2.54, 4 Pd 2.54
B: 0.7500 0.7500 0.7500  4 Li 2.54, 4 Pd 2.54
Pd: 0.2500 0.2500 0.2500  4 Li 2.54, 4 Pd 2.54
Pd: 0.5000 0.5000 0.5000  4 B 2.54, 4 Pd 2.54

Values from the calculation:
* electronic total energy: -4.46 eV/atom

Entry 4:
Below is a relaxed structure of LiBPd, with properties calculated at the PBE level.

a b c (Å): 3.6458 3.6458 3.6458
angles (deg): 60.00 60.00 60.00
Closest atoms and distances in Å follow each position.
Atoms (fractional coordinates):
Li: 0.0000 0.0000 0.0000  4 B 2.23
B: 0.2500 0.2500 0.2500  4 Li 2.23, 4 Pd 2.23
Pd: 0.5000 0.5000 0.5000  4 B 2.23

Values from the calculation:
* electronic total energy: -4.59 eV/atom

Entry 5:
Below is a relaxed structure of LiSiBPd, with properties calculated at the PBE level.

a b c (Å): 4.0306 4.0306 4.0306
angles (deg): 60.00 60.00 60.00
Closest atoms and distances in Å follow each position.
Atoms (fractional coordinates):
Li: 0.0000 0.0000 0.0000  4 B 2.47, 4 Pd 2.47
Si: 0.5000 0.5000 0.5000  4 B 2.47, 4 Pd 2.47
B: 0.7500 0.7500 0.7500  4 Si 2.47, 4 Li 2.47
Pd: 0.2500 0.2500 0.2500  4 Li 2.47, 4 Si 2.47

Values from the calculation:
* energy above the lowest structure with this stoichiometry: 0.0350 eV/atom
* electronic total energy: -4.58 eV/atom

Entry 6:
Below is a relaxed structure of LiSiBPd, with properties calculated at the PBE level.

a b c (Å): 4.0371 4.0371 4.0371
angles (deg): 60.00 60.00 60.00
Closest atoms and distances in Å follow each position.
Atoms (fractional coordinates):
Li: 0.0000 0.0000 0.0000  4 Si 2.47, 4 B 2.47
Si: 0.7500 0.7500 0.7500  4 Li 2.47, 4 Pd 2.47
B: 0.2500 0.2500 0.2500  4 Pd 2.47, 4 Li 2.47
Pd: 0.5000 0.5000 0.5000  4 Si 2.47, 4 B 2.47

Values from the calculation:
* energy above the lowest structure with this stoichiometry: 0.0000 eV/atom
* electronic total energy: -4.62 eV/atom

Question: Which formula does entry 1 have?
Answer: LiB4Pd